Nd2SmCrN4 | the Alexandria database | GGA-PBE | optimized geometry; E_tot = -8.17 eV per atom; M_tot = 2.04 μB per formula unit; formation energy from raw total energies = -1023 meV/atom
1.0
1.736 -5.887 0.000
1.736 5.887 0.000
0.000 0.000 12.169
Nd Sm Cr N
4 2 2 8
Cartesian
1.736 4.326 6.606
1.736 4.326 11.648
1.736 -4.326 0.521
1.736 -4.326 5.563
1.736 1.273 9.127
1.736 -1.273 3.042
1.736 1.950 3.042
1.736 -1.950 9.127
1.736 4.915 9.127
1.736 3.202 1.682
1.736 3.202 4.402
1.736 0.000 0.000
1.736 0.000 6.084
1.736 -3.202 7.767
1.736 -3.202 10.486
1.736 -4.915 3.042